# 1
SrCaZrCd2 after structural relaxation. Source: Alexandria, functional PBE. Values from VASP.

Summary:
symmetry: P4/mmm
electronic total energy: -1.773 eV per atom
total magnetic moment: 1.440 Bohr magnetons per cell

The structure in Quantum ESPRESSO input format:
```
&SYSTEM
  ibrav = 0, nat = 5, ntyp = 4
/
ATOMIC_SPECIES
Sr 87.62 Sr.upf
Ca 40.08 Ca.upf
Zr 91.22 Zr.upf
Cd 112.41 Cd.upf
CELL_PARAMETERS angstrom
5.460 0.000 0.000
0.000 5.460 0.000
0.000 0.000 5.720
ATOMIC_POSITIONS crystal
Sr 0.000 0.000 0.000
Ca 0.000 0.000 0.500
Zr 0.500 0.500 0.000
Cd 0.000 0.500 0.500
Cd 0.500 0.000 0.500
```



# 2
Ca4TaCd after structural relaxation. Source: Alexandria, functional PBE. Values from VASP.

Summary:
symmetry: F-43m
electronic total energy: -2.626 eV per atom
total magnetic moment: 4.905 Bohr magnetons per cell

The structure in Quantum ESPRESSO input format:
```
&SYSTEM
  ibrav = 0, nat = 6, ntyp = 3
/
ATOMIC_SPECIES
Ca 40.08 Ca.upf
Ta 180.95 Ta.upf
Cd 112.41 Cd.upf
CELL_PARAMETERS angstrom
0.000 4.545 4.545
4.545 0.000 4.545
4.545 4.545 0.000
ATOMIC_POSITIONS crystal
Ca 0.125 0.125 0.125
Ca 0.125 0.125 0.624
Ca 0.125 0.624 0.125
Ca 0.624 0.125 0.125
Ta 0.500 0.500 0.500
Cd 0.750 0.750 0.750
```



# 3
CaTaCd2 after structural relaxation. Source: Alexandria, functional PBE. Values from VASP.

Summary:
symmetry: P4mm
electronic total energy: -3.657 eV per atom
total magnetic moment: 0.434 Bohr magnetons per cell

The structure in Quantum ESPRESSO input format:
```
&SYSTEM
  ibrav = 0, nat = 4, ntyp = 3
/
ATOMIC_SPECIES
Ca 40.08 Ca.upf
Ta 180.95 Ta.upf
Cd 112.41 Cd.upf
CELL_PARAMETERS angstrom
3.058 0.000 0.000
0.000 3.058 0.000
0.000 0.000 9.672
ATOMIC_POSITIONS crystal
Ca 0.000 0.000 0.000
Ta 0.500 0.500 0.738
Cd 0.000 0.000 0.515
Cd 0.500 0.500 0.268
```



# 4
CaTa4Cd after structural relaxation. Source: Alexandria, functional PBE. Values from VASP.

Summary:
symmetry: F-43m
electronic total energy: -7.908 eV per atom
total magnetic moment: 0.000 Bohr magnetons per cell

The structure in Quantum ESPRESSO input format:
```
&SYSTEM
  ibrav = 0, nat = 6, ntyp = 3
/
ATOMIC_SPECIES
Ca 40.08 Ca.upf
Ta 180.95 Ta.upf
Cd 112.41 Cd.upf
CELL_PARAMETERS angstrom
0.000 4.006 4.006
4.006 0.000 4.006
4.006 4.006 0.000
ATOMIC_POSITIONS crystal
Ca 0.000 0.000 0.000
Ta 0.373 0.373 0.373
Ta 0.373 0.373 0.882
Ta 0.373 0.882 0.373
Ta 0.882 0.373 0.373
Cd 0.750 0.750 0.750
```



# 5
CaTaCd2 after structural relaxation. Source: Alexandria, functional PBE. Values from VASP.

Summary:
symmetry: I-42d
electronic total energy: -3.099 eV per atom
total magnetic moment: 10.018 Bohr magnetons per cell

The structure in Quantum ESPRESSO input format:
```
&SYSTEM
  ibrav = 0, nat = 16, ntyp = 3
/
ATOMIC_SPECIES
Ca 40.08 Ca.upf
Ta 180.95 Ta.upf
Cd 112.41 Cd.upf
CELL_PARAMETERS angstrom
4.539 0.000 0.000
0.000 4.539 0.000
0.000 0.000 20.726
ATOMIC_POSITIONS crystal
Ca 0.000 0.000 0.000
Ca 0.000 0.500 0.250
Ca 0.500 0.000 0.750
Ca 0.500 0.500 0.500
Ta 0.000 0.000 0.500
Ta 0.000 0.500 0.750
Ta 0.500 0.000 0.250
Ta 0.500 0.500 0.000
Cd 0.209 0.250 0.625
Cd 0.250 0.709 0.875
Cd 0.250 0.791 0.375
Cd 0.291 0.250 0.125
Cd 0.709 0.750 0.125
Cd 0.750 0.209 0.375
Cd 0.750 0.291 0.875
Cd 0.791 0.750 0.625
```



# 6
CaTaCd2 after structural relaxation. Source: Alexandria, functional PBE. Values from VASP.

Summary:
symmetry: P4/mmm
electronic total energy: -3.654 eV per atom
total magnetic moment: 0.001 Bohr magnetons per cell

The structure in Quantum ESPRESSO input format:
```
&SYSTEM
  ibrav = 0, nat = 4, ntyp = 3
/
ATOMIC_SPECIES
Ca 40.08 Ca.upf
Ta 180.95 Ta.upf
Cd 112.41 Cd.upf
CELL_PARAMETERS angstrom
5.297 0.000 0.000
0.000 5.297 0.000
0.000 0.000 3.131
ATOMIC_POSITIONS crystal
Ca 0.000 0.000 0.000
Ta 0.500 0.500 0.000
Cd 0.000 0.500 0.500
Cd 0.500 0.000 0.500
```



# 7
CaTaCd2 after structural relaxation. Source: Alexandria, functional PBE. Values from VASP.

Summary:
symmetry: P4/mmm
electronic total energy: -3.746 eV per atom
total magnetic moment: 0.000 Bohr magnetons per cell

The structure in Quantum ESPRESSO input format:
```
&SYSTEM
  ibrav = 0, nat = 4, ntyp = 3
/
ATOMIC_SPECIES
Ca 40.08 Ca.upf
Ta 180.95 Ta.upf
Cd 112.41 Cd.upf
CELL_PARAMETERS angstrom
3.113 0.000 0.000
0.000 3.113 0.000
0.000 0.000 9.140
ATOMIC_POSITIONS crystal
Ca 0.000 0.000 0.000
Ta 0.000 0.000 0.500
Cd 0.500 0.500 0.270
Cd 0.500 0.500 0.730
```



# 8
CaTaCd2 after structural relaxation. Source: Alexandria, functional PBE. Values from VASP.

Summary:
symmetry: Cm
electronic total energy: -3.611 eV per atom
total magnetic moment: 0.000 Bohr magnetons per cell

The structure in Quantum ESPRESSO input format:
```
&SYSTEM
  ibrav = 0, nat = 8, ntyp = 3
/
ATOMIC_SPECIES
Ca 40.08 Ca.upf
Ta 180.95 Ta.upf
Cd 112.41 Cd.upf
CELL_PARAMETERS angstrom
11.517 0.000 0.000
0.000 3.014 0.000
-2.082 0.000 5.135
ATOMIC_POSITIONS crystal
Ca 0.000 0.000 0.000
Ca 0.500 0.500 0.000
Ta 0.236 0.000 0.587
Ta 0.736 0.500 0.587
Cd 0.256 0.500 0.105
Cd 0.493 0.000 0.510
Cd 0.756 0.000 0.105
Cd 0.993 0.500 0.510
```



# 9
Ca2Ta2Cd after structural relaxation. Source: Alexandria, functional PBE. Values from VASP.

Summary:
symmetry: P4/mbm
electronic total energy: -4.973 eV per atom
total magnetic moment: 0.000 Bohr magnetons per cell

The structure in Quantum ESPRESSO input format:
```
&SYSTEM
  ibrav = 0, nat = 10, ntyp = 3
/
ATOMIC_SPECIES
Ca 40.08 Ca.upf
Ta 180.95 Ta.upf
Cd 112.41 Cd.upf
CELL_PARAMETERS angstrom
9.116 0.000 0.000
0.000 9.116 0.000
0.000 0.000 3.183
ATOMIC_POSITIONS crystal
Ca 0.198 0.302 0.000
Ca 0.302 0.802 0.000
Ca 0.698 0.198 0.000
Ca 0.802 0.698 0.000
Ta 0.094 0.594 0.500
Ta 0.406 0.094 0.500
Ta 0.594 0.906 0.500
Ta 0.906 0.406 0.500
Cd 0.000 0.000 0.500
Cd 0.500 0.500 0.500
```



# 10
CaTaCd2 after structural relaxation. Source: Alexandria, functional PBE. Values from VASP.

Summary:
symmetry: Cmmm
electronic total energy: -3.667 eV per atom
total magnetic moment: 0.005 Bohr magnetons per cell

The structure in Quantum ESPRESSO input format:
```
&SYSTEM
  ibrav = 0, nat = 8, ntyp = 3
/
ATOMIC_SPECIES
Ca 40.08 Ca.upf
Ta 180.95 Ta.upf
Cd 112.41 Cd.upf
CELL_PARAMETERS angstrom
6.697 0.000 0.000
0.000 8.636 0.000
0.000 0.000 3.023
ATOMIC_POSITIONS crystal
Ca 0.000 0.000 0.000
Ca 0.500 0.500 0.000
Ta 0.000 0.500 0.000
Ta 0.500 0.000 0.000
Cd 0.250 0.250 0.500
Cd 0.250 0.750 0.500
Cd 0.750 0.250 0.500
Cd 0.750 0.750 0.500
```



# 11
CaTaCd after structural relaxation. Source: Alexandria, functional PBE. Values from VASP.

Summary:
symmetry: Imm2
electronic total energy: -4.373 eV per atom
total magnetic moment: 0.000 Bohr magnetons per cell

The structure in Quantum ESPRESSO input format:
```
&SYSTEM
  ibrav = 0, nat = 6, ntyp = 3
/
ATOMIC_SPECIES
Ca 40.08 Ca.upf
Ta 180.95 Ta.upf
Cd 112.41 Cd.upf
CELL_PARAMETERS angstrom
2.975 0.000 0.000
0.000 4.201 0.000
0.000 0.000 11.466
ATOMIC_POSITIONS crystal
Ca 0.000 0.000 0.000
Ca 0.500 0.500 0.500
Ta 0.000 0.000 0.305
Ta 0.500 0.500 0.805
Cd 0.000 0.000 0.681
Cd 0.500 0.500 0.181
```



# 12
CaTaCd2 after structural relaxation. Source: Alexandria, functional PBE. Values from VASP.

Summary:
symmetry: R-3m
electronic total energy: -3.590 eV per atom
total magnetic moment: 0.000 Bohr magnetons per cell

The structure in Quantum ESPRESSO input format:
```
&SYSTEM
  ibrav = 0, nat = 12, ntyp = 3
/
ATOMIC_SPECIES
Ca 40.08 Ca.upf
Ta 180.95 Ta.upf
Cd 112.41 Cd.upf
CELL_PARAMETERS angstrom
3.170 0.000 0.000
-1.585 2.745 0.000
0.000 0.000 31.245
ATOMIC_POSITIONS crystal
Ca 0.000 0.000 0.000
Ca 0.333 0.667 0.667
Ca 0.667 0.333 0.333
Ta 0.000 0.000 0.500
Ta 0.333 0.667 0.167
Ta 0.667 0.333 0.833
Cd 0.000 0.000 0.245
Cd 0.000 0.000 0.755
Cd 0.333 0.667 0.422
Cd 0.333 0.667 0.912
Cd 0.667 0.333 0.088
Cd 0.667 0.333 0.578
```



Question: The highest total magnetic moment belongs to which entry?
Answer: number 5